Compound: AgTe2Se
Source: the Alexandria database
Functional: GGA-PBE
Structure: optimized geometry

Values from the calculation:
As for the space group: No. 216. Its magnetic moment is 0.00 μB/cell. The calculation puts the uncorrected formation energy at 1.39 eV/f.u.

a = 5.1642 Å, b = 5.1642 Å, c = 5.1642 Å
α = 60.00°, β = 60.00°, γ = 60.00°
Fractional positions:
Ag 0.0000 0.0000 0.0000
Te 0.2500 0.2500 0.2500
Te 0.5000 0.5000 0.5000
Se 0.7500 0.7500 0.7500



Compound: Ag2TeSe
Source: the Alexandria database
Functional: GGA-PBE
Structure: optimized geometry

Values from the calculation:
As for the space group: No. 47. Its magnetic moment is 0.00 μB/cell. The energy above the most stable polymorph in this dataset comes out at 198 meV per atom. The calculation puts the uncorrected formation energy at 0.76 eV/f.u.

a = 3.9891 Å, b = 4.2895 Å, c = 5.2637 Å
α = 90.00°, β = 90.00°, γ = 90.00°
Fractional positions:
Ag 0.0000 0.0000 0.0000
Ag 0.5000 0.0000 0.5000
Te 0.0000 0.5000 0.5000
Se 0.5000 0.5000 0.0000



Compound: AgTeSe2
Source: the Alexandria database
Functional: GGA-PBE
Structure: optimized geometry

Values from the calculation:
As for the space group: No. 10. Its magnetic moment is 0.00 μB/cell. The calculation puts the uncorrected formation energy at 0.37 eV/f.u.

a = 3.7623 Å, b = 3.8311 Å, c = 7.4846 Å
α = 90.00°, β = 103.89°, γ = 90.00°
Fractional positions:
Ag 0.0000 0.0000 0.0000
Te 0.5000 0.0000 0.5000
Se 0.4080 0.5000 0.2206
Se 0.5920 0.5000 0.7794



Compound: Ag3TeSe
Source: the Alexandria database
Functional: GGA-PBE
Structure: optimized geometry

Values from the calculation:
As for the space group: No. 221. Its magnetic moment is 0.00 μB/cell. The energy above the most stable polymorph in this dataset comes out at 274 meV per atom. The calculation puts the uncorrected formation energy at 1.23 eV/f.u.

a = 5.0733 Å, b = 5.0733 Å, c = 5.0733 Å
α = 90.00°, β = 90.00°, γ = 90.00°
Fractional positions:
Ag 0.0000 0.0000 0.5000
Ag 0.0000 0.5000 0.0000
Ag 0.5000 0.0000 0.0000
Te 0.5000 0.5000 0.5000
Se 0.0000 0.0000 0.0000



Compound: Ag2TeSe
Source: the Alexandria database
Functional: GGA-PBE
Structure: optimized geometry

Values from the calculation:
As for the space group: No. 10. Its magnetic moment is 0.00 μB/cell. The energy above the most stable polymorph in this dataset comes out at 42 meV per atom. The calculation puts the uncorrected formation energy at 0.13 eV/f.u.

a = 4.8158 Å, b = 3.9853 Å, c = 5.1953 Å
α = 90.00°, β = 108.16°, γ = 90.00°
Fractional positions:
Ag 0.2371 0.0000 0.2591
Ag 0.7629 0.0000 0.7409
Te 0.5000 0.5000 0.0000
Se 0.0000 0.5000 0.5000



Compound: Ag8TeSe2
Source: the Alexandria database
Functional: GGA-PBE
Structure: optimized geometry

Values from the calculation:
As for the space group: No. 8. Its magnetic moment is 0.00 μB/cell. The energy above the most stable polymorph in this dataset comes out at 0 meV per atom. The calculation puts the uncorrected formation energy at 0.07 eV/f.u.

a = 8.4217 Å, b = 8.4217 Å, c = 4.4670 Å
α = 95.69°, β = 95.69°, γ = 129.07°
Fractional positions:
Ag 0.0000 0.0000 0.0000
Ag 0.0840 0.8544 0.4864
Ag 0.1552 0.4206 0.1242
Ag 0.2901 0.2901 0.6274
Ag 0.4206 0.1552 0.1242
Ag 0.4479 0.7326 0.7201
Ag 0.7326 0.4479 0.7201
Ag 0.8544 0.0840 0.4864
Te 0.5872 0.5872 0.2829
Se 0.1507 0.7228 0.9703
Se 0.7228 0.1507 0.9703



Compound: Ag3Te12Se5
Source: the Alexandria database
Functional: GGA-PBE
Structure: optimized geometry

Values from the calculation:
As for the space group: No. 230. Its magnetic moment is 0.00 μB/cell. The calculation puts the uncorrected formation energy at 4.88 eV/f.u.

a = 15.2981 Å, b = 15.2981 Å, c = 15.2981 Å
α = 109.47°, β = 109.47°, γ = 109.47°
Fractional positions:
Ag 0.1250 0.2500 0.3750
Ag 0.1250 0.3750 0.7500
Ag 0.2500 0.3750 0.1250
Ag 0.2500 0.8750 0.6250
Ag 0.3750 0.1250 0.2500
Ag 0.3750 0.7500 0.1250
Ag 0.6250 0.2500 0.8750
Ag 0.6250 0.8750 0.7500
Ag 0.7500 0.1250 0.3750
Ag 0.7500 0.6250 0.8750
Ag 0.8750 0.6250 0.2500
Ag 0.8750 0.7500 0.6250
Te 0.0460 0.7075 0.6578
Te 0.0460 0.8385 0.3883
Te 0.0497 0.2075 0.1615
Te 0.0497 0.3422 0.8883
Te 0.1117 0.6615 0.4540
Te 0.1117 0.9503 0.6578
Te 0.1578 0.2075 0.5460
Te 0.1578 0.4503 0.6117
Te 0.1615 0.0497 0.2075
Te 0.1615 0.6117 0.9540
Te 0.2075 0.1615 0.0497
Te 0.2075 0.5460 0.1578
Te 0.2925 0.3422 0.9540
Te 0.2925 0.4503 0.3385
Te 0.3385 0.2925 0.4503
Te 0.3385 0.5460 0.8883
Te 0.3422 0.8883 0.0497
Te 0.3422 0.9540 0.2925
Te 0.3883 0.0460 0.8385
Te 0.3883 0.8422 0.5497
Te 0.4503 0.3385 0.2925
Te 0.4503 0.6117 0.1578
Te 0.4540 0.1117 0.6615
Te 0.4540 0.8422 0.7925
Te 0.5460 0.1578 0.2075
Te 0.5460 0.8883 0.3385
Te 0.5497 0.3883 0.8422
Te 0.5497 0.6615 0.7075
Te 0.6117 0.1578 0.4503
Te 0.6117 0.9540 0.1615
Te 0.6578 0.0460 0.7075
Te 0.6578 0.1117 0.9503
Te 0.6615 0.4540 0.1117
Te 0.6615 0.7075 0.5497
Te 0.7075 0.5497 0.6615
Te 0.7075 0.6578 0.0460
Te 0.7925 0.4540 0.8422
Te 0.7925 0.8385 0.9503
Te 0.8385 0.3883 0.0460
Te 0.8385 0.9503 0.7925
Te 0.8422 0.5497 0.3883
Te 0.8422 0.7925 0.4540
Te 0.8883 0.0497 0.3422
Te 0.8883 0.3385 0.5460
Te 0.9503 0.6578 0.1117
Te 0.9503 0.7925 0.8385
Te 0.9540 0.1615 0.6117
Te 0.9540 0.2925 0.3422
Se 0.0000 0.0000 0.0000
Se 0.0000 0.0000 0.5000
Se 0.0000 0.5000 0.0000
Se 0.0000 0.5000 0.5000
Se 0.1250 0.7500 0.8750
Se 0.1250 0.8750 0.2500
Se 0.2500 0.1250 0.8750
Se 0.2500 0.6250 0.3750
Se 0.3750 0.2500 0.6250
Se 0.3750 0.6250 0.7500
Se 0.5000 0.0000 0.0000
Se 0.5000 0.0000 0.5000
Se 0.5000 0.5000 0.0000
Se 0.5000 0.5000 0.5000
Se 0.6250 0.3750 0.2500
Se 0.6250 0.7500 0.3750
Se 0.7500 0.3750 0.6250
Se 0.7500 0.8750 0.1250
Se 0.8750 0.1250 0.7500
Se 0.8750 0.2500 0.1250



Compound: AgTeSe2
Source: the Alexandria database
Functional: GGA-PBE
Structure: optimized geometry

Values from the calculation:
As for the space group: No. 33. Its magnetic moment is 0.00 μB/cell. The calculation puts the uncorrected formation energy at 0.20 eV/f.u.

a = 7.0392 Å, b = 8.0271 Å, c = 7.0776 Å
α = 90.00°, β = 90.00°, γ = 90.00°
Fractional positions:
Ag 0.2496 0.1151 0.0000
Ag 0.2504 0.6151 0.5000
Ag 0.7496 0.3849 0.0000
Ag 0.7504 0.8849 0.5000
Te 0.2501 0.1132 0.5001
Te 0.2499 0.6132 0.0001
Te 0.7501 0.3868 0.5001
Te 0.7499 0.8868 0.0001
Se 0.0778 0.3865 0.2361
Se 0.0780 0.8864 0.2642
Se 0.4220 0.3864 0.7642
Se 0.4222 0.8865 0.7361
Se 0.5778 0.1135 0.2361
Se 0.5780 0.6136 0.2642
Se 0.9220 0.1136 0.7642
Se 0.9222 0.6135 0.7361



Compound: AgTe2Se
Source: the Alexandria database
Functional: GGA-PBE
Structure: optimized geometry

Values from the calculation:
As for the space group: No. 166. Its magnetic moment is 0.00 μB/cell. The calculation puts the uncorrected formation energy at 0.65 eV/f.u.

a = 8.5089 Å, b = 8.5089 Å, c = 8.5089 Å
α = 29.29°, β = 29.29°, γ = 29.29°
Fractional positions:
Ag 0.0000 0.0000 0.0000
Te 0.3924 0.3924 0.3924
Te 0.6076 0.6076 0.6076
Se 0.5000 0.5000 0.5000



Compound: Ag2TeSe
Source: the Alexandria database
Functional: GGA-PBE
Structure: optimized geometry

Values from the calculation:
As for the space group: No. 160. Its magnetic moment is 0.00 μB/cell. The energy above the most stable polymorph in this dataset comes out at 59 meV per atom. The calculation puts the uncorrected formation energy at 0.20 eV/f.u.

a = 6.8205 Å, b = 6.8205 Å, c = 6.8205 Å
α = 35.46°, β = 35.46°, γ = 35.46°
Fractional positions:
Ag 0.0000 0.0000 0.0000
Ag 0.1552 0.1552 0.1552
Te 0.5790 0.5790 0.5790
Se 0.4073 0.4073 0.4073



Compound: Ag2TeSe
Source: the Alexandria database
Functional: GGA-PBE
Structure: optimized geometry

Values from the calculation:
As for the space group: No. 123. Its magnetic moment is 0.00 μB/cell. The energy above the most stable polymorph in this dataset comes out at 173 meV per atom. The calculation puts the uncorrected formation energy at 0.66 eV/f.u.

a = 3.8691 Å, b = 3.8691 Å, c = 5.9697 Å
α = 90.00°, β = 90.00°, γ = 90.00°
Fractional positions:
Ag 0.0000 0.0000 0.2463
Ag 0.0000 0.0000 0.7537
Te 0.5000 0.5000 0.5000
Se 0.5000 0.5000 0.0000



Compound: AgTeSe3
Source: the Alexandria database
Functional: GGA-PBE
Structure: optimized geometry

Values from the calculation:
As for the space group: No. 2. Its magnetic moment is 0.00 μB/cell. The energy above the most stable polymorph in this dataset comes out at 16 meV per atom. The calculation puts the uncorrected formation energy at 0.13 eV/f.u.

a = 4.7352 Å, b = 6.7393 Å, c = 10.2091 Å
α = 87.91°, β = 76.79°, γ = 90.00°
Fractional positions:
Ag 0.0533 0.1741 0.3945
Ag 0.9467 0.8259 0.6055
Te 0.3478 0.2328 0.8039
Te 0.6522 0.7672 0.1961
Se 0.0851 0.7828 0.3289
Se 0.3051 0.8597 0.8921
Se 0.4056 0.6858 0.6890
Se 0.5944 0.3142 0.3110
Se 0.6949 0.1403 0.1079
Se 0.9149 0.2172 0.6711



magnetic moment of number 1 (AgTe2Se)? 0.00 μB/cell